# Cs2InHgBi

Crystalline Cs2InHgBi at its relaxed geometry (PBE-GGA, Alexandria).

Properties
Mass density, Mg/m³: 3.79
Energy relative to the lowest polymorph listed for this composition, meV per atom: 238
E_tot, eV per cell: -9.009
ΔE_f, eV/atom: -0.08
Total magnetic moment, μB/atom: 0.000

a = 7.5968 Å, b = 7.5968 Å, c = 6.0045 Å
α = 90.00°, β = 90.00°, γ = 90.00°
Closest atoms and distances in Å follow each position.
Space group P4/mmm (No. 123)
Unique sites:
Cs 0.0000 0.5000 0.0000 x2  2 Bi 3.80
In 0.0000 0.0000 0.5000 x1  2 Bi 3.00
Hg 0.5000 0.5000 0.5000 x1  8 Cs 4.84, 4 In 5.37
Bi 0.0000 0.0000 0.0000 x1  2 In 3.00